Entry 1:
Below is an optimized crystal structure of Tb3NdHg4, with properties calculated at the PBE level.

Energy   -2.958 eV per atom
Distance to the lowest polymorph of the same formula   0 meV/atom
Calculated formation energy   -0.48 eV per atom
N(E_F)   8.94 states/eV/cell

Cell: 5.2928 5.2928 7.6074 Å, 90.00 90.00 90.00°
With the nearest neighbours (Å) after each atom.
Sites, in units of the cell vectors:
1 Tb 0.0000 0.0000 0.0000  8 Hg 3.22
2 Tb 0.0000 0.0000 0.5000  8 Hg 3.30
3 Tb 0.5000 0.5000 0.0000  8 Hg 3.22
4 Nd 0.5000 0.5000 0.5000  8 Hg 3.30
5 Hg 0.0000 0.5000 0.2413  6 Tb 3.22-3.30, 2 Nd 3.30
6 Hg 0.0000 0.5000 0.7587  6 Tb 3.22-3.30, 2 Nd 3.30
7 Hg 0.5000 0.0000 0.2413  6 Tb 3.22-3.30, 2 Nd 3.30
8 Hg 0.5000 0.0000 0.7587  6 Tb 3.22-3.30, 2 Nd 3.30

Entry 2:
Below is an optimized crystal structure of Pr3Nd4Dy5, with properties calculated at the PBE level.

Energy   -4.488 eV per atom
Distance to the lowest polymorph of the same formula   199 meV/atom
Calculated formation energy   0.21 eV per atom
N(E_F)   19.27 states/eV/cell

Cell: 8.6643 8.6643 9.4399 Å, 114.41 114.41 40.76°
With the nearest neighbours (Å) after each atom.
Sites, in units of the cell vectors:
1 Pr 0.0000 0.0000 0.0000  2 Dy 3.02
2 Pr 0.2899 0.2899 0.7674  3 Dy 3.14-3.31, 2 Nd 3.32-3.44
3 Pr 0.7101 0.7101 0.2326  3 Dy 3.14-3.31, 2 Nd 3.32-3.44
4 Nd 0.2906 0.2906 0.1193  3 Pr 3.32-3.63, 3 Nd 3.65-3.70, 2 Dy 3.70
5 Nd 0.4158 0.4158 0.5547  2 Nd 3.32-3.70, 1 Pr 3.44, 3 Dy 3.48-3.57
6 Nd 0.5842 0.5842 0.4453  2 Nd 3.32-3.70, 1 Pr 3.44, 3 Dy 3.48-3.57
7 Nd 0.7094 0.7094 0.8807  3 Pr 3.32-3.63, 3 Nd 3.65-3.70, 2 Dy 3.70
8 Dy 0.0713 0.0713 0.6968  2 Pr 3.31-3.53, 2 Dy 3.40-3.67, 2 Nd 3.70
9 Dy 0.1716 0.1716 0.3870  4 Pr 3.24-3.52, 3 Nd 3.48-3.57
10 Dy 0.5000 0.5000 0.0000  4 Pr 3.02-3.14
11 Dy 0.8284 0.8284 0.6130  4 Pr 3.24-3.52, 3 Nd 3.48-3.57
12 Dy 0.9287 0.9287 0.3032  2 Pr 3.31-3.53, 2 Dy 3.40-3.67, 2 Nd 3.70

Entry 3:
Below is an optimized crystal structure of Ca3Sn3Bi2Au, with properties calculated at the PBE level.

Energy   -3.780 eV per atom
Calculated formation energy   -0.55 eV per atom
N(E_F)   3.60 states/eV/cell

Cell: 8.2466 8.2466 4.4554 Å, 90.00 90.00 120.00°
With the nearest neighbours (Å) after each atom.
Sites, in units of the cell vectors:
1 Ca 0.0000 0.6144 0.0000  1 Au 3.18, 4 Bi 3.39, 4 Sn 3.56
2 Ca 0.3856 0.3856 0.0000  1 Au 3.18, 4 Bi 3.39, 4 Sn 3.56
3 Ca 0.6144 0.0000 0.0000  1 Au 3.18, 4 Bi 3.39, 4 Sn 3.56
4 Sn 0.0000 0.2334 0.5000  2 Au 2.94, 2 Bi 3.24
5 Sn 0.2334 0.0000 0.5000  2 Au 2.94, 2 Bi 3.24
6 Sn 0.7666 0.7666 0.5000  2 Au 2.94, 2 Bi 3.24
7 Bi 0.3333 0.6667 0.5000  3 Sn 3.24, 6 Ca 3.39
8 Bi 0.6667 0.3333 0.5000  3 Sn 3.24, 6 Ca 3.39
9 Au 0.0000 0.0000 0.0000  6 Sn 2.94, 3 Ca 3.18

Entry 4:
Below is an optimized crystal structure of K2NaInH, with properties calculated at the PBE level.

Energy   -1.874 eV per atom
Distance to the lowest polymorph of the same formula   42 meV/atom
N(E_F)   2.44 states/eV/cell

Cell: 5.5244 5.5244 5.2712 Å, 90.00 90.00 90.00°
With the nearest neighbours (Å) after each atom.
Sites, in units of the cell vectors:
1 K 0.0000 0.5000 0.0000  2 H 2.76
2 K 0.5000 0.0000 0.0000  2 H 2.76
3 Na 0.0000 0.0000 0.5000  8 K 3.82, 4 In 3.91
4 In 0.5000 0.5000 0.5000  2 H 2.64
5 H 0.5000 0.5000 0.0000  2 In 2.64, 4 K 2.76

no.,total magnetization (μB per cell)
1,1.2
2,0.0
3,0.0
4,0.0